Record 1
First-principles (PBE-GGA) data for In2BiBF after structural relaxation, as listed in Alexandria via LeMat-Bulk.

Values from the calculation:
Formation energy from raw total energies: 305 meV per atom
V: 113 Å³/f.u.

Cell: 4.992 4.542 4.992 Å, 90.00 90.00 90.00°
Sites, in units of the cell vectors:
B: 0.000 0.500 0.000
Bi: 0.500 0.500 0.500
F: 0.000 0.000 0.000
In: 0.000 0.000 0.500
In: 0.500 0.000 0.000



Record 2
First-principles (PBE-GGA) data for KAg2As after structural relaxation, as listed in Alexandria via LeMat-Bulk.

Values from the calculation:
DFT formation energy: 0.219 eV per atom
V: 91 Å³/f.u.

Cell: 2.945 5.547 5.558 Å, 90.00 90.00 90.00°
Sites, in units of the cell vectors:
K: 0.000 0.500 0.500
As: 0.500 0.000 0.500
Ag: 0.000 0.000 0.000
Ag: 0.500 0.500 0.000



Record 3
First-principles (PBE-GGA) data for Sc2AgPb2 after structural relaxation, as listed in Alexandria via LeMat-Bulk.

Values from the calculation:
DFT formation energy: -0.198 eV per atom
V: 122 Å³/f.u.
Energy above the lowest structure with this stoichiometry: 0.000 eV per atom

Cell: 7.502 7.502 4.319 Å, 90.00 90.00 90.00°
Sites, in units of the cell vectors:
Pb: 0.643 0.143 0.000
Sc: 0.166 0.666 0.500
Ag: 0.000 0.000 0.000
Pb: 0.143 0.357 0.000
Pb: 0.857 0.643 0.000
Sc: 0.334 0.166 0.500
Ag: 0.500 0.500 0.000
Sc: 0.834 0.334 0.500
Pb: 0.357 0.857 0.000
Sc: 0.666 0.834 0.500



What are the total DFT energy (no corrections) values for these records? In order: -3.276, -2.644, -4.785 eV/atom.